The following is a DFT calculation (GGA-PBE) of an optimized crystal structure of Cs3RbF4.

Cell and atoms, written as extended XYZ:
```
16
Lattice="6.0152 0.0000 0.0000 0.0000 6.0152 0.0000 0.0000 0.0000 12.0495" Properties=species:S:1:pos:R:3 pbc="T T T"
Cs 0.0000 0.0000 0.0000
Cs 0.0000 3.0076 3.0124
Cs 0.0000 3.0076 9.0371
Cs 3.0076 0.0000 3.0124
Cs 3.0076 0.0000 9.0371
Cs 3.0076 3.0076 6.0247
Rb 0.0000 0.0000 6.0247
Rb 3.0076 3.0076 0.0000
F 0.0000 0.0000 3.1388
F 0.0000 0.0000 8.9106
F 0.0000 3.0076 0.0000
F 0.0000 3.0076 6.0247
F 3.0076 0.0000 0.0000
F 3.0076 0.0000 6.0247
F 3.0076 3.0076 2.8859
F 3.0076 3.0076 9.1636
```

SG   I4/mmm (139)
DFT total energy   -4.026 eV per atom
Uncorrected formation energy   -2.6496 eV/atom
Total moment   0.00 μB/f.u.